[1]
# KHgSe2N PBE-GGA optimized geometry
# Energy above the lowest structure with this stoichiometry, eV/f.u.: 3.534
# Formation energy (no corrections), kJ/mol of atoms: 130.54
# Total magnetization, μB/cell: 6.0
# Space-group type: No. 123
data_KHgSe2N
_cell_length_a 6.3550
_cell_length_b 6.3550
_cell_length_c 5.4505
_cell_angle_alpha 90.00
_cell_angle_beta 90.00
_cell_angle_gamma 90.00
_space_group_name_H-M_alt 'P 1'
_space_group_IT_number 1
loop_
_space_group_symop_operation_xyz
'x,y,z'
loop_
_atom_site_label
_atom_site_fract_x
_atom_site_fract_y
_atom_site_fract_z
_atom_site_occupancy
N1 0.0000 0.0000 0.5000 1
Hg1 0.5000 0.5000 0.5000 1
Se1 0.5000 0.0000 0.0000 1
Se2 0.0000 0.5000 0.0000 1
K1 0.0000 0.0000 0.0000 1

=====

[2]
# RbBaMg3 PBE-GGA optimized geometry
# Energy above the lowest structure with this stoichiometry, eV/f.u.: 0.177
# Formation energy, kcal/mol of atoms: 15.32
# Total magnetization, μB/cell: 0.0
# Space-group type: No. 221
data_RbBaMg3
_cell_length_a 6.2545
_cell_length_b 6.2545
_cell_length_c 6.2545
_cell_angle_alpha 90.00
_cell_angle_beta 90.00
_cell_angle_gamma 90.00
_space_group_name_H-M_alt 'P 1'
_space_group_IT_number 1
loop_
_space_group_symop_operation_xyz
'x,y,z'
loop_
_atom_site_label
_atom_site_fract_x
_atom_site_fract_y
_atom_site_fract_z
_atom_site_occupancy
Mg1 0.5000 0.0000 0.0000 1
Mg2 0.0000 0.5000 0.0000 1
Mg3 0.0000 0.0000 0.5000 1
Rb1 0.0000 0.0000 0.0000 1
Ba1 0.5000 0.5000 0.5000 1

=====

[3]
# Pr2Ga2Ir PBE-GGA optimized geometry
# Energy above the lowest structure with this stoichiometry, eV/f.u.: 0.000
# Formation energy, kcal/mol of atoms: -15.58
# Total magnetization, μB/cell: 0.0
# Space-group type: No. 12
data_Pr2Ga2Ir
_cell_length_a 4.2369
_cell_length_b 6.0276
_cell_length_c 10.1668
_cell_angle_alpha 91.13
_cell_angle_beta 77.97
_cell_angle_gamma 69.42
_space_group_name_H-M_alt 'P 1'
_space_group_IT_number 1
loop_
_space_group_symop_operation_xyz
'x,y,z'
loop_
_atom_site_label
_atom_site_fract_x
_atom_site_fract_y
_atom_site_fract_z
_atom_site_occupancy
Pr1 0.6672 0.3303 0.3353 1
Pr2 0.9308 0.2593 0.8792 1
Pr3 0.3328 0.6697 0.6647 1
Pr4 0.0692 0.7407 0.1208 1
Ga1 0.3655 0.1554 0.1136 1
Ga2 0.6345 0.8446 0.8864 1
Ga3 0.8861 0.7815 0.4463 1
Ga4 0.1139 0.2185 0.5537 1
Ir1 0.3798 0.9092 0.3311 1
Ir2 0.6202 0.0908 0.6689 1

=====

[4]
# Pr4SmHo2 PBE-GGA optimized geometry
# Energy above the lowest structure with this stoichiometry, eV/f.u.: 0.000
# Formation energy, kcal/mol of atoms: 1.46
# Total magnetization, μB/cell: 0.0
# Space-group type: No. 43
data_Pr4SmHo2
_cell_length_a 12.6902
_cell_length_b 12.6902
_cell_length_c 6.8843
_cell_angle_alpha 96.98
_cell_angle_beta 96.98
_cell_angle_gamma 150.24
_space_group_name_H-M_alt 'P 1'
_space_group_IT_number 1
loop_
_space_group_symop_operation_xyz
'x,y,z'
loop_
_atom_site_label
_atom_site_fract_x
_atom_site_fract_y
_atom_site_fract_z
_atom_site_occupancy
Pr1 0.5597 0.5972 0.1320 1
Pr2 0.1783 0.7156 0.3689 1
Pr3 0.0356 0.1434 0.5993 1
Pr4 0.1860 0.7939 0.9010 1
Pr5 0.7156 0.1783 0.8689 1
Pr6 0.7939 0.1860 0.4010 1
Pr7 0.1434 0.0356 0.0993 1
Pr8 0.5972 0.5597 0.6320 1
Ho1 0.3064 0.6238 0.9508 1
Ho2 0.9228 0.1057 0.0492 1
Ho3 0.1057 0.9228 0.5492 1
Ho4 0.6238 0.3064 0.4508 1
Sm1 0.4215 0.6715 0.5001 1
Sm2 0.6715 0.4214 0.0001 1

=====

[5]
# Ba2Bi3PdPt4 PBE-GGA optimized geometry
# Formation energy, kcal/mol of atoms: -12.25
# Total magnetization, μB/cell: 0.0
# Space-group type: No. 115
data_Ba2Bi3PdPt4
_cell_length_a 4.8537
_cell_length_b 4.8537
_cell_length_c 10.9157
_cell_angle_alpha 90.00
_cell_angle_beta 90.00
_cell_angle_gamma 90.00
_space_group_name_H-M_alt 'P 1'
_space_group_IT_number 1
loop_
_space_group_symop_operation_xyz
'x,y,z'
loop_
_atom_site_label
_atom_site_fract_x
_atom_site_fract_y
_atom_site_fract_z
_atom_site_occupancy
Bi1 0.0000 0.0000 0.5000 1
Bi2 0.0000 0.5000 0.1256 1
Bi3 0.5000 0.0000 0.8744 1
Pt1 0.0000 0.5000 0.3778 1
Pt2 0.5000 0.0000 0.6222 1
Pt3 0.0000 0.0000 0.0000 1
Pt4 0.5000 0.5000 0.0000 1
Ba1 0.0000 0.5000 0.7422 1
Ba2 0.5000 0.0000 0.2578 1
Pd1 0.5000 0.5000 0.5000 1

=====

[6]
# KPuZnO4 PBE-GGA optimized geometry
# Formation energy (no corrections), kJ/mol of atoms: -182.51
# Total magnetization, μB/cell: 6.0
# Space-group type: No. 63
data_KPuZnO4
_cell_length_a 6.1603
_cell_length_b 6.1603
_cell_length_c 7.3087
_cell_angle_alpha 90.00
_cell_angle_beta 90.00
_cell_angle_gamma 114.38
_space_group_name_H-M_alt 'P 1'
_space_group_IT_number 1
loop_
_space_group_symop_operation_xyz
'x,y,z'
loop_
_atom_site_label
_atom_site_fract_x
_atom_site_fract_y
_atom_site_fract_z
_atom_site_occupancy
Pu1 0.1677 0.8323 0.7500 1
Pu2 0.8323 0.1677 0.2500 1
K1 0.5000 0.5000 0.5000 1
K2 0.5000 0.5000 0.0000 1
O1 0.7702 0.8167 0.2500 1
O2 0.2298 0.1833 0.7500 1
O3 0.8167 0.7702 0.7500 1
O4 0.7868 0.2132 0.9815 1
O5 0.2132 0.7868 0.0185 1
O6 0.7868 0.2132 0.5185 1
O7 0.1833 0.2298 0.2500 1
O8 0.2132 0.7868 0.4815 1
Zn1 0.8797 0.1203 0.7500 1
Zn2 0.1203 0.8797 0.2500 1

=====

[7]
# La5Sb2Pb2 PBE-GGA optimized geometry
# Energy above the lowest structure with this stoichiometry, eV/f.u.: 0.000
# Formation energy (no corrections), kJ/mol of atoms: -87.09
# Total magnetization, μB/cell: 0.0
# Space-group type: No. 64
data_La5Sb2Pb2
_cell_length_a 8.6923
_cell_length_b 8.6094
_cell_length_c 9.2087
_cell_angle_alpha 117.87
_cell_angle_beta 90.00
_cell_angle_gamma 90.00
_space_group_name_H-M_alt 'P 1'
_space_group_IT_number 1
loop_
_space_group_symop_operation_xyz
'x,y,z'
loop_
_atom_site_label
_atom_site_fract_x
_atom_site_fract_y
_atom_site_fract_z
_atom_site_occupancy
Pb1 0.8677 0.3684 0.0000 1
Pb2 0.1323 0.6316 0.0000 1
Pb3 0.3677 0.1316 0.0000 1
Pb4 0.6323 0.8684 0.0000 1
La1 0.3326 0.9676 0.2799 1
La2 0.0000 0.0000 0.0000 1
La3 0.6674 0.3123 0.2799 1
La4 0.6674 0.0324 0.7201 1
La5 0.8326 0.5324 0.7201 1
La6 0.1674 0.1877 0.7201 1
La7 0.3326 0.6877 0.7201 1
La8 0.5000 0.5000 0.0000 1
La9 0.1674 0.4676 0.2799 1
La10 0.8326 0.8123 0.2799 1
Sb1 0.0000 0.2019 0.4039 1
Sb2 0.5000 0.2981 0.5961 1
Sb3 0.5000 0.7019 0.4039 1
Sb4 0.0000 0.7981 0.5961 1

=====

[8]
# YTm5Ru4 PBE-GGA optimized geometry
# Formation energy, kcal/mol of atoms: -8.45
# Total magnetization, μB/cell: 0.0
# Space-group type: No. 123
data_YTm5Ru4
_cell_length_a 3.3725
_cell_length_b 3.3725
_cell_length_c 18.8680
_cell_angle_alpha 90.00
_cell_angle_beta 90.00
_cell_angle_gamma 90.00
_space_group_name_H-M_alt 'P 1'
_space_group_IT_number 1
loop_
_space_group_symop_operation_xyz
'x,y,z'
loop_
_atom_site_label
_atom_site_fract_x
_atom_site_fract_y
_atom_site_fract_z
_atom_site_occupancy
Tm1 0.5000 0.5000 0.6763 1
Tm2 0.5000 0.5000 0.1481 1
Tm3 0.5000 0.5000 0.5000 1
Tm4 0.5000 0.5000 0.8519 1
Tm5 0.5000 0.5000 0.3237 1
Ru1 0.0000 0.0000 0.5890 1
Ru2 0.0000 0.0000 0.4110 1
Ru3 0.0000 0.0000 0.7710 1
Ru4 0.0000 0.0000 0.2290 1
Y1 0.0000 0.0000 0.0000 1

=====

[9]
# KY2PdO4 PBE-GGA optimized geometry
# Formation energy (no corrections), kJ/mol of atoms: -203.17
# Total magnetization, μB/cell: 1.0
# Space-group type: No. 121
data_KY2PdO4
_cell_length_a 6.6410
_cell_length_b 6.6410
_cell_length_c 6.6410
_cell_angle_alpha 68.04
_cell_angle_beta 133.39
_cell_angle_gamma 133.39
_space_group_name_H-M_alt 'P 1'
_space_group_IT_number 1
loop_
_space_group_symop_operation_xyz
'x,y,z'
loop_
_atom_site_label
_atom_site_fract_x
_atom_site_fract_y
_atom_site_fract_z
_atom_site_occupancy
K1 0.0000 0.0000 0.0000 1
O1 0.5560 0.4283 0.4283 1
O2 0.0000 0.1277 0.5717 1
O3 0.4440 0.8723 0.8723 1
O4 0.0000 0.5717 0.1277 1
Y1 0.5000 0.7500 0.2500 1
Y2 0.5000 0.2500 0.7500 1
Pd1 0.0000 0.5000 0.5000 1

=====

[10]
# Sr4Ag2Hg PBE-GGA optimized geometry
# Formation energy, kcal/mol of atoms: -6.50
# Total magnetization, μB/cell: 0.0
# Space-group type: No. 166
data_Sr4Ag2Hg
_cell_length_a 5.5865
_cell_length_b 5.5865
_cell_length_c 9.6567
_cell_angle_alpha 73.19
_cell_angle_beta 73.19
_cell_angle_gamma 60.00
_space_group_name_H-M_alt 'P 1'
_space_group_IT_number 1
loop_
_space_group_symop_operation_xyz
'x,y,z'
loop_
_atom_site_label
_atom_site_fract_x
_atom_site_fract_y
_atom_site_fract_z
_atom_site_occupancy
Ag1 0.7514 0.7514 0.7457 1
Ag2 0.2486 0.2486 0.2543 1
Sr1 0.8750 0.8750 0.3749 1
Sr2 0.3750 0.3750 0.8751 1
Sr3 0.6250 0.6250 0.1249 1
Sr4 0.1250 0.1250 0.6251 1
Hg1 0.0000 0.0000 0.0000 1

=====

[11]
# YSiTc2 PBE-GGA optimized geometry
# Formation energy (no corrections), kJ/mol of atoms: 21.63
# Total magnetization, μB/cell: 0.0
# Space-group type: No. 122
data_YSiTc2
_cell_length_a 4.4871
_cell_length_b 4.4871
_cell_length_c 9.2321
_cell_angle_alpha 75.94
_cell_angle_beta 75.94
_cell_angle_gamma 90.00
_space_group_name_H-M_alt 'P 1'
_space_group_IT_number 1
loop_
_space_group_symop_operation_xyz
'x,y,z'
loop_
_atom_site_label
_atom_site_fract_x
_atom_site_fract_y
_atom_site_fract_z
_atom_site_occupancy
Tc1 0.3067 0.6250 0.2500 1
Tc2 0.4433 0.1250 0.2500 1
Tc3 0.3750 0.5567 0.7500 1
Tc4 0.8750 0.6933 0.7500 1
Y1 0.7500 0.2500 0.5000 1
Y2 0.0000 0.0000 0.0000 1
Si1 0.5000 0.5000 0.0000 1
Si2 0.2500 0.7500 0.5000 1

=====

[12]
# FeH6Pd8 PBE-GGA optimized geometry
# Total magnetization, μB/cell: 3.5
# Space-group type: No. 2
# DFT total energy, eV per atom: -4.7333
data_FeH6Pd8
_cell_length_a 4.9923
_cell_length_b 5.0053
_cell_length_c 7.5352
_cell_angle_alpha 70.82
_cell_angle_beta 70.81
_cell_angle_gamma 59.98
_space_group_name_H-M_alt 'P 1'
_space_group_IT_number 1
loop_
_space_group_symop_operation_xyz
'x,y,z'
loop_
_atom_site_label
_atom_site_fract_x
_atom_site_fract_y
_atom_site_fract_z
_atom_site_occupancy
H1 0.9321 0.5905 0.1984 1
H2 0.2786 0.9293 0.1990 1
H3 0.5908 0.2764 0.2003 1
H4 0.7214 0.0707 0.8010 1
H5 0.4092 0.7236 0.7997 1
H6 0.0679 0.4095 0.8016 1
Pd1 0.7835 0.4380 0.6674 1
Pd2 0.2165 0.5620 0.3326 1
Pd3 0.8900 0.2162 0.3323 1
Pd4 0.4378 0.1107 0.6674 1
Pd5 0.6661 0.6665 0.0009 1
Pd6 0.5622 0.8893 0.3326 1
Pd7 0.1100 0.7838 0.6677 1
Pd8 0.3339 0.3335 0.9991 1
Fe1 0.0000 0.0000 0.0000 1